No. 1
TmZrPa: optimized geometry, PBE-GGA.

abc: 7.853 7.853 7.853
angles: 156.39 156.39 33.64
Fractional positions:
Tm 0.000 0.000 0.000
Zr 0.330 0.330 0.000
Pa 0.673 0.673 0.000

Summary:
Symmetry   I4mm
Energy relative to the lowest polymorph listed for this composition   0.004 eV per atom
Energy of formation   0.144 eV per atom

No. 2
Ac8SiRh3Br4: optimized geometry, PBE-GGA.

abc: 9.629 9.629 9.629
angles: 54.83 54.83 54.83
Fractional positions:
Ac 0.220 0.738 0.738
Ac 0.233 0.233 0.233
Ac 0.262 0.262 0.780
Ac 0.262 0.780 0.262
Ac 0.738 0.220 0.738
Ac 0.738 0.738 0.220
Ac 0.767 0.767 0.767
Ac 0.780 0.262 0.262
Si 0.500 0.500 0.500
Rh 0.000 0.000 0.500
Rh 0.000 0.500 0.000
Rh 0.500 0.000 0.000
Br 0.000 0.000 0.000
Br 0.000 0.500 0.500
Br 0.500 0.000 0.500
Br 0.500 0.500 0.000

Summary:
Symmetry   R-3m
E_form (uncorrected)   -1074.8 meV/atom

Q: Which DOS(E_F) values were calculated for the entries above? A: 5.8 11.4, in states/eV/f.u..